VASP calculation (PBE) on a relaxed Tb6NdSc4 crystal.

```
Tb6NdSc4
1.0
2.7552 -4.7254 0.0000
2.7552 4.7254 0.0000
0.0000 0.0000 25.0206
Tb Nd Sc
12 2 8
direct
0.0000 0.0000 0.0000
0.0000 0.0000 0.5000
0.0103 0.9897 0.7500
0.3248 0.6752 0.0956
0.3248 0.6752 0.4044
0.3434 0.6566 0.6779
0.3434 0.6566 0.8221
0.6566 0.3434 0.1779
0.6566 0.3434 0.3221
0.6752 0.3248 0.5956
0.6752 0.3248 0.9044
0.9897 0.0103 0.2500
0.3238 0.6762 0.2500
0.6762 0.3238 0.7500
0.0105 0.9895 0.6234
0.0105 0.9895 0.8766
0.3372 0.6628 0.5433
0.3372 0.6628 0.9567
0.6628 0.3372 0.0433
0.6628 0.3372 0.4567
0.9895 0.0105 0.1234
0.9895 0.0105 0.3766
```

crystal system: orthorhombic
formation energy from the elements: 0.11 eV/atom
ΔE to the lowest computed polymorph: 0.0 kJ per mole of atoms
SG: Cmcm (63)
final energy: -56.7 eV/f.u.
calculated density: 6.51 g/cm³
D(E_F): 34.9 states/eV per cell

***

VASP calculation (PBE) on a relaxed Pm2Er3In4 crystal.

```
Pm2Er3In4
1.0
3.5044 -8.3800 0.0000
3.5044 8.3800 0.0000
0.0000 0.0000 9.0005
Pm Er In
4 6 8
direct
0.1082 0.8918 0.9207
0.3918 0.6082 0.4207
0.6082 0.3918 0.5793
0.8918 0.1082 0.0793
0.0000 0.0000 0.5000
0.0307 0.4693 0.7500
0.4693 0.0307 0.2500
0.5000 0.5000 0.0000
0.5307 0.9693 0.7500
0.9693 0.5307 0.2500
0.1817 0.8183 0.5403
0.2121 0.2879 0.7500
0.2879 0.2121 0.2500
0.3183 0.6817 0.0403
0.6817 0.3183 0.9597
0.7121 0.7879 0.7500
0.7879 0.7121 0.2500
0.8183 0.1817 0.4597
```

crystal system: orthorhombic
formation energy from the elements: -0.29 eV/atom
ΔE to the lowest computed polymorph: 10.1 kJ per mole of atoms
SG: Cmce (64)
final energy: -36.8 eV/f.u.
calculated density: 7.86 g/cm³
D(E_F): 16.3 states/eV per cell

***

VASP calculation (PBE) on a relaxed Zr8C2N crystal.

```
Zr8C2N
1.0
5.2397 -3.8842 0.0000
5.2397 3.8842 0.0000
-0.0782 0.0000 4.9683
Zr C N
8 2 1
direct
0.1055 0.6883 0.7594
0.1746 0.1746 0.7420
0.3117 0.8945 0.2406
0.3924 0.3924 0.2473
0.6076 0.6076 0.7527
0.6883 0.1055 0.7594
0.8254 0.8254 0.2580
0.8945 0.3117 0.2406
0.3885 0.3885 0.7449
0.6115 0.6115 0.2551
0.0000 0.0000 0.0000
```

crystal system: monoclinic
SG: C2/m (12)
final energy: -101.5 eV/f.u.
calculated density: 6.30 g/cm³
raw formation energy: -0.579 eV per atom
D(E_F): 8.7 states/eV per cell

***

VASP calculation (PBE) on a relaxed ZnTcF2 crystal.

```
ZnTcF2
1.0
1.3189 0.7614 8.0176
-1.3189 0.7614 8.0176
0.0000 -1.5229 8.0176
Zn Tc F
1 1 2
direct
0.0000 0.0000 0.0000
0.5000 0.5000 0.5000
0.4188 0.4188 0.4188
0.5812 0.5812 0.5812
```

crystal system: trigonal
ΔE to the lowest computed polymorph: 0.0 kJ per mole of atoms
SG: R-3m (166)
final energy: -19.5 eV/f.u.
calculated density: 6.92 g/cm³
raw formation energy: -1.035 eV per atom
D(E_F): 1.2 states/eV per cell